First-principles (PBE-GGA) data for an optimized crystal structure of K3BaGa, as listed in the Alexandria database.

It has space group Pm-3m (No. 221), with a = 6.7157 Å, b = 6.7157 Å, c = 6.7157 Å, α = 90.00°, β = 90.00° and γ = 90.00°. The asymmetric unit holds K at (0.0000, 0.0000, 0.5000), Ba at (0.5000, 0.5000, 0.5000) and Ga at (0.0000, 0.0000, 0.0000).

Its formation energy is 22.26 kJ per mole of atoms.

***

First-principles (PBE-GGA) data for an optimized crystal structure of Li2InFe, as listed in the Alexandria database.

It has space group Pm (No. 6), with a = 2.8003 Å, b = 4.2078 Å, c = 5.7015 Å, α = 90.00°, β = 102.74° and γ = 90.00°. The asymmetric unit holds Li at (0.0000, 0.0000, 0.0000), Li at (0.3673, 0.5000, 0.2381), In at (0.4577, 0.5000, 0.7237) and Fe at (0.8907, 0.0000, 0.4875).

Its formation energy is 12.78 kJ per mole of atoms.

***

First-principles (PBE-GGA) data for an optimized crystal structure of IrC3, as listed in the Alexandria database.

It has space group Amm2 (No. 38), with a = 3.5901 Å, b = 2.8949 Å, c = 8.2502 Å, α = 90.00°, β = 90.00° and γ = 90.00°. The asymmetric unit holds Ir at (0.0000, 0.0000, 0.0000), C at (0.0000, 0.0000, 0.6835) and C at (0.3105, 0.0000, 0.7971).

Its formation energy is 89.05 kJ per mole of atoms.